# Pa2GaSn2 | Alexandria | PBE-GGA | relaxed
data_Pa2GaSn2
_cell_length_a 4.8098
_cell_length_b 4.8098
_cell_length_c 12.7388
_cell_angle_alpha 90.00
_cell_angle_beta 90.00
_cell_angle_gamma 120.00
_space_group_name_H-M_alt 'P 63/m m c'
_space_group_IT_number 194
_space_group_name_Hall '-P 6c 2c'
loop_
_atom_site_label
_atom_site_fract_x
_atom_site_fract_y
_atom_site_fract_z
Pa1 0.3333 0.6667 0.1133
Ga1 0.0000 0.0000 0.2500
Sn1 0.0000 0.0000 0.0000
Sn2 0.3333 0.6667 0.7500
# Magnetization, μB per formula unit: 0.7
# Uncorrected energy, eV per atom: -6.08

---

# PaGaSn | Alexandria | PBE-GGA | relaxed
data_PaGaSn
_cell_length_a 3.431
_cell_length_b 3.431
_cell_length_c 11.777
_cell_angle_alpha 90.00
_cell_angle_beta 90.00
_cell_angle_gamma 90.00
_space_group_name_H-M_alt 'I 4 m m'
_space_group_IT_number 107
_space_group_name_Hall 'I 4 -2'
loop_
_atom_site_label
_atom_site_fract_x
_atom_site_fract_y
_atom_site_fract_z
Pa1 0.000 0.000 0.000
Ga1 0.000 0.000 0.338
Sn1 0.000 0.000 0.692
# Magnetization, μB per formula unit: 0.4
# Uncorrected energy, eV per atom: -5.56